Entry 1:
# TbB3O6 PBE-GGA relaxed
# spin magnetization = 0.00 μB/f.u.
# energy above the most stable polymorph in this dataset = 2 meV per atom
data_TbB3O6
_symmetry_space_group_name_H-M 'P 1'
_symmetry_Int_Tables_number 1
_cell_length_a 6.2431
_cell_length_b 6.2431
_cell_length_c 6.1354
_cell_angle_alpha 116.74
_cell_angle_beta 116.74
_cell_angle_gamma 79.67
loop_
_symmetry_equiv_pos_as_xyz
'x,y,z'
loop_
_atom_site_label
_atom_site_type_symbol
_atom_site_fract_x
_atom_site_fract_y
_atom_site_fract_z
Tb1 Tb 0.2020 0.7980 0.7500
Tb2 Tb 0.7980 0.2020 0.2500
B1 B 0.2120 0.3374 0.9069
B2 B 0.2212 0.7788 0.2500
B3 B 0.3374 0.2120 0.4069
B4 B 0.6626 0.7880 0.5931
B5 B 0.7788 0.2212 0.7500
B6 B 0.7880 0.6626 0.0931
O1 O 0.0060 0.7862 0.2971
O2 O 0.2036 0.3939 0.4900
O3 O 0.2141 0.5851 0.0013
O4 O 0.2138 0.9940 0.2029
O5 O 0.3939 0.2036 0.9900
O6 O 0.4149 0.7859 0.4987
O7 O 0.5851 0.2141 0.5013
O8 O 0.6061 0.7964 0.0100
O9 O 0.7862 0.0060 0.7971
O10 O 0.7859 0.4149 0.9987
O11 O 0.7964 0.6061 0.5100
O12 O 0.9940 0.2138 0.7029



Entry 2:
# AsPdPbO PBE-GGA relaxed
# energy above the most stable polymorph in this dataset = 0 meV per atom
data_AsPdPbO
_symmetry_space_group_name_H-M 'P 1'
_symmetry_Int_Tables_number 1
_cell_length_a 4.0971
_cell_length_b 4.0971
_cell_length_c 9.7752
_cell_angle_alpha 90.00
_cell_angle_beta 90.00
_cell_angle_gamma 90.00
loop_
_symmetry_equiv_pos_as_xyz
'x,y,z'
loop_
_atom_site_label
_atom_site_type_symbol
_atom_site_fract_x
_atom_site_fract_y
_atom_site_fract_z
As1 As 0.2500 0.2500 0.1435
As2 As 0.7500 0.7500 0.8565
Pd1 Pd 0.2500 0.7500 0.0000
Pd2 Pd 0.7500 0.2500 0.0000
Pb1 Pb 0.2500 0.2500 0.6200
Pb2 Pb 0.7500 0.7500 0.3800
O1 O 0.2500 0.7500 0.5000
O2 O 0.7500 0.2500 0.5000



Entry 3:
# DyPSe3S PBE-GGA relaxed
# spin magnetization = 0.00 μB/f.u.
# energy above the most stable polymorph in this dataset = 5 meV per atom
data_DyPSe3S
_symmetry_space_group_name_H-M 'P 1'
_symmetry_Int_Tables_number 1
_cell_length_a 6.6825
_cell_length_b 6.8808
_cell_length_c 7.9885
_cell_angle_alpha 88.46
_cell_angle_beta 87.52
_cell_angle_gamma 80.94
loop_
_symmetry_equiv_pos_as_xyz
'x,y,z'
loop_
_atom_site_label
_atom_site_type_symbol
_atom_site_fract_x
_atom_site_fract_y
_atom_site_fract_z
Dy1 Dy 0.2097 0.2004 0.0548
Dy2 Dy 0.7903 0.7996 0.9452
P1 P 0.3116 0.7603 0.8151
P2 P 0.6884 0.2397 0.1849
Se1 Se 0.0771 0.0209 0.7546
Se2 Se 0.1276 0.5164 0.7905
Se3 Se 0.4152 0.2696 0.3481
Se4 Se 0.5848 0.7304 0.6519
Se5 Se 0.8724 0.4836 0.2095
Se6 Se 0.9229 0.9791 0.2454
S1 S 0.3880 0.7873 0.0620
S2 S 0.6120 0.2127 0.9380



Entry 4:
# PrSmCo2B2N2 PBE-GGA relaxed
# spin magnetization = 0.02 μB/f.u.
# E_tot = -61.34 eV for the cell shown
data_PrSmCo2B2N2
_symmetry_space_group_name_H-M 'P 1'
_symmetry_Int_Tables_number 1
_cell_length_a 3.6192
_cell_length_b 3.6192
_cell_length_c 7.4431
_cell_angle_alpha 90.00
_cell_angle_beta 90.00
_cell_angle_gamma 90.00
loop_
_symmetry_equiv_pos_as_xyz
'x,y,z'
loop_
_atom_site_label
_atom_site_type_symbol
_atom_site_fract_x
_atom_site_fract_y
_atom_site_fract_z
Pr1 Pr 0.0000 0.0000 0.0000
Sm1 Sm 0.5000 0.5000 0.6496
Co1 Co 0.0000 0.5000 0.3253
Co2 Co 0.5000 0.0000 0.3253
B1 B 0.0000 0.0000 0.4649
B2 B 0.5000 0.5000 0.1829
N1 N 0.0000 0.0000 0.6656
N2 N 0.5000 0.5000 0.9807



Entry 5:
# LiGdFeS3 PBE-GGA relaxed
# spin magnetization = 3.76 μB/f.u.
# energy above the most stable polymorph in this dataset = 0 meV per atom
data_LiGdFeS3
_symmetry_space_group_name_H-M 'P 1'
_symmetry_Int_Tables_number 1
_cell_length_a 7.4745
_cell_length_b 3.8304
_cell_length_c 9.4144
_cell_angle_alpha 90.00
_cell_angle_beta 100.60
_cell_angle_gamma 90.00
loop_
_symmetry_equiv_pos_as_xyz
'x,y,z'
loop_
_atom_site_label
_atom_site_type_symbol
_atom_site_fract_x
_atom_site_fract_y
_atom_site_fract_z
Li1 Li 0.1595 0.2500 0.1220
Li2 Li 0.8405 0.7500 0.8780
Gd1 Gd 0.3426 0.7500 0.8382
Gd2 Gd 0.6574 0.2500 0.1618
Fe1 Fe 0.0658 0.2500 0.5920
Fe2 Fe 0.9342 0.7500 0.4080
S1 S 0.0731 0.2500 0.8398
S2 S 0.2252 0.7500 0.5398
S3 S 0.3954 0.7500 0.1388
S4 S 0.6046 0.2500 0.8612
S5 S 0.7748 0.2500 0.4602
S6 S 0.9269 0.7500 0.1602



Entry 6:
# K23Sn9Au12 PBE-GGA relaxed
# E_tot = -115.15 eV for the cell shown
data_K23Sn9Au12
_symmetry_space_group_name_H-M 'P 1'
_symmetry_Int_Tables_number 1
_cell_length_a 15.3094
_cell_length_b 15.3094
_cell_length_c 15.3094
_cell_angle_alpha 92.99
_cell_angle_beta 92.99
_cell_angle_gamma 153.61
loop_
_symmetry_equiv_pos_as_xyz
'x,y,z'
loop_
_atom_site_label
_atom_site_type_symbol
_atom_site_fract_x
_atom_site_fract_y
_atom_site_fract_z
K1 K 0.0000 0.0000 0.0000
K2 K 0.0596 0.6205 0.7582
K3 K 0.0845 0.2171 0.7855
K4 K 0.1376 0.3795 0.4391
K5 K 0.1441 0.1441 0.5651
K6 K 0.2171 0.0845 0.7855
K7 K 0.2500 0.7500 0.5000
K8 K 0.2991 0.4316 0.2145
K9 K 0.3015 0.8624 0.2418
K10 K 0.3795 0.1376 0.4391
K11 K 0.4210 0.8559 0.0000
K12 K 0.4316 0.2991 0.2145
K13 K 0.5684 0.7829 0.8675
K14 K 0.5790 0.5790 0.4349
K15 K 0.6205 0.0596 0.7582
K16 K 0.6985 0.9404 0.5609
K17 K 0.7009 0.9155 0.1325
K18 K 0.7500 0.2500 0.5000
K19 K 0.7829 0.5684 0.8675
K20 K 0.8559 0.4210 0.0000
K21 K 0.8624 0.3015 0.2418
K22 K 0.9155 0.7009 0.1325
K23 K 0.9404 0.6985 0.5609
Sn1 Sn 0.0193 0.0193 0.3300
Sn2 Sn 0.1672 0.5000 0.6672
Sn3 Sn 0.3108 0.9807 0.0000
Sn4 Sn 0.5000 0.1672 0.6672
Sn5 Sn 0.5000 0.5000 0.0000
Sn6 Sn 0.5000 0.8328 0.3328
Sn7 Sn 0.6892 0.6892 0.6700
Sn8 Sn 0.8328 0.5000 0.3328
Sn9 Sn 0.9807 0.3108 0.0000
Au1 Au 0.0965 0.4420 0.8387
Au2 Au 0.2349 0.4005 0.0000
Au3 Au 0.2579 0.6033 0.1613
Au4 Au 0.3967 0.5580 0.6546
Au5 Au 0.4005 0.2349 0.0000
Au6 Au 0.4420 0.0965 0.8387
Au7 Au 0.5580 0.3967 0.6546
Au8 Au 0.5995 0.5995 0.8344
Au9 Au 0.6033 0.2579 0.1613
Au10 Au 0.7421 0.9035 0.3454
Au11 Au 0.7651 0.7651 0.1656
Au12 Au 0.9035 0.7421 0.3454